Density functional theory data (PBE with a Hubbard U) for an optimized crystal structure of Tl2MoPbF8.

Summary:
For the energy, the calculation gives -57.5 eV for the cell shown.

abc: 4.7000 6.5582 7.7234
angles: 89.60 89.88 85.92
Closest atoms and distances in Å follow each position.
Space group P-1 (No. 2)
Inequivalent atoms, fractional coordinates:
Tl 0.0087 0.0082 0.2554 [2 per cell]  4 F 2.60-2.86
Mo 0.5000 0.5000 0.5000 [1 per cell]  6 F 1.96-2.07
Pb 0.5000 0.5000 0.0000 [1 per cell]  6 F 2.41-2.70
F 0.0843 0.7384 0.0025 [2 per cell]  1 Pb 2.41, 2 Tl 2.60-2.65
F 0.1434 0.6743 0.5031 [2 per cell]  1 Mo 1.96
F 0.3824 0.3223 0.6970 [2 per cell]  1 Mo 2.01
F 0.3910 0.3217 0.2934 [2 per cell]  1 Mo 2.07